VASP calculation (PBE-GGA) on a geometry-optimized Tb2Pm9Tl structure. Values from VASP.

The structure in Quantum ESPRESSO input format:
```
&SYSTEM
  ibrav = 0, nat = 12, ntyp = 3
/
ATOMIC_SPECIES
Tb 158.93 Tb.upf
Pm 145.00 Pm.upf
Tl 204.38 Tl.upf
CELL_PARAMETERS angstrom
5.041 0.000 0.000
0.000 5.041 0.000
0.000 0.000 15.473
ATOMIC_POSITIONS crystal
Tb 0.000 0.000 0.332
Tb 0.000 0.000 0.668
Pm 0.500 0.500 0.000
Pm 0.500 0.500 0.330
Pm 0.500 0.500 0.670
Pm 0.500 0.000 0.162
Pm 0.500 0.000 0.500
Pm 0.500 0.000 0.838
Pm 0.000 0.500 0.162
Pm 0.000 0.500 0.500
Pm 0.000 0.500 0.838
Tl 0.000 0.000 0.000
```

Energy relative to the elements   -0.046 eV/atom

VASP calculation (PBE-GGA) on a geometry-optimized SrBi2Ir2 structure. Values from VASP.

The structure in Quantum ESPRESSO input format:
```
&SYSTEM
  ibrav = 0, nat = 5, ntyp = 3
/
ATOMIC_SPECIES
Sr 87.62 Sr.upf
Ir 192.22 Ir.upf
Bi 208.98 Bi.upf
CELL_PARAMETERS angstrom
4.768 0.000 0.000
0.000 4.768 0.000
2.384 2.384 5.569
ATOMIC_POSITIONS crystal
Sr 0.000 0.000 0.000
Ir 0.388 0.388 0.223
Ir 0.612 0.612 0.777
Bi 0.750 0.250 0.500
Bi 0.250 0.750 0.500
```

Energy relative to the elements   -0.105 eV/atom

VASP calculation (PBE-GGA) on a geometry-optimized Sr3SmRh8 structure. Values from VASP.

The structure in Quantum ESPRESSO input format:
```
&SYSTEM
  ibrav = 0, nat = 12, ntyp = 3
/
ATOMIC_SPECIES
Sr 87.62 Sr.upf
Sm 150.36 Sm.upf
Rh 102.91 Rh.upf
CELL_PARAMETERS angstrom
-3.671 -1.194 -3.852
-1.096 -5.205 -1.203
-8.047 -2.201 4.490
ATOMIC_POSITIONS crystal
Sr 0.375 0.375 0.876
Sr 0.001 0.001 0.996
Sr 0.499 0.499 0.504
Sm 0.875 0.875 0.375
Rh 0.934 0.437 0.193
Rh 0.442 0.938 0.682
Rh 0.437 0.437 0.193
Rh 0.938 0.938 0.682
Rh 0.188 0.188 0.437
Rh 0.688 0.688 0.937
Rh 0.437 0.934 0.193
Rh 0.938 0.442 0.682
```

Energy relative to the elements   -0.377 eV/atom

VASP calculation (PBE-GGA) on a geometry-optimized BaIn2Hg2Pb2 structure. Values from VASP.

The structure in Quantum ESPRESSO input format:
```
&SYSTEM
  ibrav = 0, nat = 7, ntyp = 4
/
ATOMIC_SPECIES
Ba 137.33 Ba.upf
In 114.82 In.upf
Hg 200.59 Hg.upf
Pb 207.20 Pb.upf
CELL_PARAMETERS angstrom
5.211 0.000 0.000
2.605 4.513 0.000
2.605 1.504 9.427
ATOMIC_POSITIONS crystal
Ba 0.000 0.000 0.000
In 0.749 0.749 0.752
In 0.251 0.251 0.248
Hg 0.600 0.600 0.200
Hg 0.400 0.400 0.800
Pb 0.138 0.138 0.586
Pb 0.862 0.862 0.414
```

Energy relative to the elements   -0.241 eV/atom

VASP calculation (PBE-GGA) on a geometry-optimized Zr3UTl3Te8 structure. Values from VASP.

The structure in Quantum ESPRESSO input format:
```
&SYSTEM
  ibrav = 0, nat = 15, ntyp = 4
/
ATOMIC_SPECIES
Zr 91.22 Zr.upf
U 238.03 U.upf
Tl 204.38 Tl.upf
Te 127.60 Te.upf
CELL_PARAMETERS angstrom
8.229 0.000 0.000
-4.114 7.120 -0.027
0.000 -4.704 8.508
ATOMIC_POSITIONS crystal
Zr 0.500 0.000 0.500
Zr 0.500 0.500 0.500
Zr 0.000 0.500 0.500
U 0.000 0.000 0.500
Tl 0.000 0.000 0.000
Tl 0.000 0.500 0.000
Tl 0.500 0.500 0.000
Te 0.264 0.528 0.292
Te 0.736 0.472 0.708
Te 0.755 0.511 0.286
Te 0.245 0.489 0.714
Te 0.755 0.031 0.286
Te 0.245 0.969 0.714
Te 0.276 0.031 0.286
Te 0.724 0.969 0.714
```

Energy relative to the elements, uncorrected   -667.0 meV/atom

VASP calculation (PBE-GGA) on a geometry-optimized Sm3Si2Ni3 structure. Values from VASP.

The structure in Quantum ESPRESSO input format:
```
&SYSTEM
  ibrav = 0, nat = 32, ntyp = 3
/
ATOMIC_SPECIES
Sm 150.36 Sm.upf
Si 28.09 Si.upf
Ni 58.69 Ni.upf
CELL_PARAMETERS angstrom
-0.337 -3.734 4.356
5.410 -4.014 -3.023
9.763 7.649 7.312
ATOMIC_POSITIONS crystal
Sm 0.144 0.487 0.392
Sm 0.644 0.013 0.608
Sm 0.856 0.513 0.892
Sm 0.356 0.987 0.108
Sm 0.856 0.513 0.608
Sm 0.356 0.987 0.392
Sm 0.144 0.487 0.108
Sm 0.644 0.013 0.892
Sm 0.624 0.356 0.250
Sm 0.124 0.144 0.750
Sm 0.376 0.644 0.750
Sm 0.876 0.856 0.250
Si 0.858 0.144 0.405
Si 0.358 0.356 0.595
Si 0.142 0.856 0.905
Si 0.642 0.644 0.095
Si 0.142 0.856 0.595
Si 0.642 0.644 0.405
Si 0.858 0.144 0.095
Si 0.358 0.356 0.905
Ni 0.072 0.201 0.250
Ni 0.572 0.299 0.750
Ni 0.928 0.799 0.750
Ni 0.428 0.701 0.250
Ni 0.597 0.350 0.462
Ni 0.097 0.150 0.538
Ni 0.403 0.650 0.962
Ni 0.903 0.850 0.038
Ni 0.403 0.650 0.538
Ni 0.903 0.850 0.462
Ni 0.597 0.350 0.038
Ni 0.097 0.150 0.962
```

Energy relative to the elements, uncorrected   -659.5 meV/atom

VASP calculation (PBE-GGA) on a geometry-optimized Tl3TePd8 structure. Values from VASP.

The structure in Quantum ESPRESSO input format:
```
&SYSTEM
  ibrav = 0, nat = 12, ntyp = 3
/
ATOMIC_SPECIES
Tl 204.38 Tl.upf
Te 127.60 Te.upf
Pd 106.42 Pd.upf
CELL_PARAMETERS angstrom
-1.167 3.110 -7.775
-1.470 1.965 8.010
2.914 5.319 6.501
ATOMIC_POSITIONS crystal
Tl 0.760 0.512 0.718
Tl 0.248 0.488 0.229
Tl 0.435 0.000 0.452
Te 0.990 0.000 0.948
Pd 0.254 0.000 0.721
Pd 0.392 0.552 0.562
Pd 0.839 0.448 0.113
Pd 0.626 0.000 0.812
Pd 0.850 0.001 0.612
Pd 0.677 0.591 0.322
Pd 0.086 0.410 0.912
Pd 0.343 0.999 0.097
```

Energy relative to the elements, uncorrected   -149.9 meV/atom

VASP calculation (PBE-GGA) on a geometry-optimized YTiAsSe2 structure. Values from VASP.

The structure in Quantum ESPRESSO input format:
```
&SYSTEM
  ibrav = 0, nat = 5, ntyp = 4
/
ATOMIC_SPECIES
Y 88.91 Y.upf
As 74.92 As.upf
Se 78.96 Se.upf
Ti 47.87 Ti.upf
CELL_PARAMETERS angstrom
4.889 0.000 0.000
0.000 4.889 0.000
0.000 0.000 4.979
ATOMIC_POSITIONS crystal
Y 0.500 0.500 0.500
As 0.000 0.000 0.500
Se 0.000 0.500 0.000
Se 0.500 0.000 0.000
Ti 0.000 0.000 0.000
```

Energy relative to the elements, uncorrected   -777.7 meV/atom
ΔE to the lowest computed polymorph   0.000 eV per atom

| no. | total DFT energy (no corrections) (eV/f.u.) |
| --- | --- |
| 1 | -54.933 |
| 2 | -27.693 |
| 3 | -73.102 |
| 4 | -17.109 |
| 5 | -79.170 |
| 6 | -47.624 |
| 7 | -53.582 |
| 8 | -29.866 |